## Be3NbIn (GGA-PBE)

Data for Be3NbIn after structural relaxation.

a b c (Å): 4.4911 4.4911 4.4911
angles (deg): 90.00 90.00 90.00
Closest atoms and distances in Å follow each position.
Space group Pm-3m (No. 221)
One atom of each set of equivalent atoms:
Be  0.0000  0.0000  0.5000 x3  2 Nb 2.25
Nb  0.0000  0.0000  0.0000 x1  6 Be 2.25
In  0.5000  0.5000  0.5000 x1  12 Be 3.18

Properties
M_tot, μB/f.u.: 0.00
E_tot, eV/atom: -3.461
Relative energy among the computed polymorphs, meV per atom: 0
Energy relative to the elements, eV per atom: 1.3365

---

## Be2Nb2InRh5 (GGA-PBE)

Data for Be2Nb2InRh5 after structural relaxation.

a b c (Å): 9.5210 9.5210 3.1287
angles (deg): 90.00 90.00 90.00
Closest atoms and distances in Å follow each position.
Space group P4/mbm (No. 127)
One atom of each set of equivalent atoms:
Be  0.1211  0.3789  0.0000 x4  6 Rh 2.24-2.26
Nb  0.1756  0.6756  0.0000 x4  3 Be 2.74-2.87, 10 Rh 2.83-2.99
In  0.0000  0.0000  0.0000 x2  8 Rh 2.68
Rh  0.0000  0.5000  0.5000 x2  4 Be 2.26
Rh  0.0699  0.2178  0.5000 x8  2 Be 2.24

Properties
M_tot, μB/f.u.: 0.00
E_tot, eV/atom: -7.198
Energy relative to the elements, eV per atom: -0.4896

---

## BeNb2InTc (GGA-PBE)

Data for BeNb2InTc after structural relaxation.

a b c (Å): 4.8467 4.8467 4.2990
angles (deg): 90.00 90.00 90.00
Closest atoms and distances in Å follow each position.
Space group P4/mmm (No. 123)
One atom of each set of equivalent atoms:
Be  0.0000  0.0000  0.0000 x1  2 Tc 2.15
Nb  0.0000  0.5000  0.5000 x2  2 Tc 2.42
In  0.5000  0.5000  0.0000 x1  8 Nb 3.24, 4 Be 3.43
Tc  0.0000  0.0000  0.5000 x1  2 Be 2.15

Properties
M_tot, μB/f.u.: 0.00
E_tot, eV/atom: -6.543
Energy relative to the elements, eV per atom: 0.8508

---

## BeNbZn2In (GGA-PBE)

Data for BeNbZn2In after structural relaxation.

a b c (Å): 5.0330 5.0330 5.4039
angles (deg): 90.00 90.00 90.00
Closest atoms and distances in Å follow each position.
Space group P4/mmm (No. 123)
One atom of each set of equivalent atoms:
Be  0.0000  0.0000  0.0000 x1  4 In 3.56, 8 Zn 3.69
Nb  0.5000  0.5000  0.5000 x1  4 Zn 2.52, 2 In 2.70
Zn  0.0000  0.5000  0.5000 x2  2 Nb 2.52
In  0.5000  0.5000  0.0000 x1  2 Nb 2.70

Properties
M_tot, μB/f.u.: 0.00
E_tot, eV/atom: -2.403
Energy relative to the elements, eV per atom: 1.4135

---

## Nd2BeIn (GGA-PBE)

Data for Nd2BeIn after structural relaxation.

a b c (Å): 3.6384 3.6384 7.7291
angles (deg): 90.00 90.00 90.00
Closest atoms and distances in Å follow each position.
Space group P4/mmm (No. 123)
One atom of each set of equivalent atoms:
Nd  0.0000  0.0000  0.2191 x2  4 Be 3.08, 4 In 3.37, 1 Nd 3.39
Be  0.5000  0.5000  0.0000 x1  8 Nd 3.08
In  0.5000  0.5000  0.5000 x1  8 Nd 3.37, 4 In 3.64

Properties
M_tot, μB/f.u.: 0.00
E_tot, eV/atom: -4.142
Energy relative to the elements, eV per atom: -0.1422

---

## Nd2Be2InPd5 (GGA-PBE)

Data for Nd2Be2InPd5 after structural relaxation.

a b c (Å): 9.9264 9.9264 3.5279
angles (deg): 90.00 90.00 90.00
Closest atoms and distances in Å follow each position.
Space group P4/mbm (No. 127)
One atom of each set of equivalent atoms:
Nd  0.1791  0.3209  0.0000 x4  3 Be 2.88-2.99, 10 Pd 3.07-3.17
Be  0.1154  0.6154  0.0000 x4  6 Pd 2.39-2.43
In  0.0000  0.0000  0.0000 x2  8 Pd 2.91
Pd  0.0000  0.5000  0.5000 x2  4 Be 2.39
Pd  0.0679  0.7768  0.5000 x8  2 Be 2.43

Properties
M_tot, μB/f.u.: 0.00
E_tot, eV/atom: -5.253
Energy relative to the elements, eV per atom: -0.6842

---

## Nd2BeInPd6 (GGA-PBE)

Data for Nd2BeInPd6 after structural relaxation.

a b c (Å): 5.8079 5.8341 7.4113
angles (deg): 68.08 67.48 60.28
Closest atoms and distances in Å follow each position.
Space group P-1 (No. 2)
One atom of each set of equivalent atoms:
Nd  0.2344  0.2335  0.2096 x2  9 Pd 2.93-3.24
Be  0.5000  0.5000  0.5000 x1  6 Pd 2.15-2.20
In  0.0000  0.0000  0.0000 x1  6 Pd 2.67-2.77
Pd  0.1660  0.6825  0.3506 x2  1 Be 2.20
Pd  0.2881  0.2900  0.7578 x2  1 Be 2.15
Pd  0.3181  0.8393  0.6443 x2  1 Be 2.20

Properties
M_tot, μB/f.u.: 0.00
E_tot, eV/atom: -5.331
Energy relative to the elements, eV per atom: -0.6154

---

## BeInNi3 (GGA-PBE)

Data for BeInNi3 after structural relaxation.

a b c (Å): 3.9827 3.9827 3.9827
angles (deg): 90.00 90.00 90.00
Closest atoms and distances in Å follow each position.
Space group Pm-3m (No. 221)
One atom of each set of equivalent atoms:
Be  0.0000  0.0000  0.0000 x1  6 Ni 1.99
In  0.5000  0.5000  0.5000 x1  12 Ni 2.82
Ni  0.0000  0.0000  0.5000 x3  2 Be 1.99

Properties
M_tot, μB/f.u.: 0.00
E_tot, eV/atom: -4.732
Relative energy among the computed polymorphs, meV per atom: 0
Energy relative to the elements, eV per atom: 0.0302

---

## Be2InNi2 (GGA-PBE)

Data for Be2InNi2 after structural relaxation.

a b c (Å): 6.6106 6.6106 2.7241
angles (deg): 90.00 90.00 90.00
Closest atoms and distances in Å follow each position.
Space group P4/mbm (No. 127)
One atom of each set of equivalent atoms:
Be  0.1413  0.3587  0.0000 x4  6 Ni 2.30-2.46
In  0.0000  0.0000  0.5000 x2  4 Ni 2.55, 2 In 2.72
Ni  0.1399  0.6399  0.5000 x4  6 Be 2.30-2.46, 2 In 2.55

Properties
M_tot, μB/f.u.: 0.00
E_tot, eV/atom: -4.413
Relative energy among the computed polymorphs, meV per atom: 117
Energy relative to the elements, eV per atom: -0.0623

---

## BeInNi4 (GGA-PBE)

Data for BeInNi4 after structural relaxation.

a b c (Å): 6.7124 6.7124 6.7124
angles (deg): 90.00 90.00 90.00
Closest atoms and distances in Å follow each position.
Space group F-43m (No. 216)
One atom of each set of equivalent atoms:
Be  0.0000  0.0000  0.0000 x4  12 Ni 2.78, 4 In 2.91
In  0.2500  0.2500  0.7500 x4  12 Ni 2.78, 4 Be 2.91
Ni  0.1256  0.1256  0.3744 x16  6 Ni 2.36-2.39

Properties
M_tot, μB/f.u.: 0.89
E_tot, eV/atom: -4.835
Energy relative to the elements, eV per atom: 0.0968

---

## Be2InNi2 (GGA-PBE)

Data for Be2InNi2 after structural relaxation.

a b c (Å): 6.4526 6.4526 2.7487
angles (deg): 90.00 90.00 90.00
Closest atoms and distances in Å follow each position.
Space group P4/mbm (No. 127)
One atom of each set of equivalent atoms:
Be  0.1199  0.3801  0.0000 x4  1 Be 2.19, 6 Ni 2.29-2.42
In  0.0000  0.0000  0.0000 x2  4 Be 2.57, 2 In 2.75, 8 Ni 2.78
Ni  0.1616  0.6616  0.5000 x4  6 Be 2.29-2.42

Properties
M_tot, μB/f.u.: 0.00
E_tot, eV/atom: -4.530
Relative energy among the computed polymorphs, meV per atom: 0
Energy relative to the elements, eV per atom: -0.1790

---

## Be4InNi (GGA-PBE)

Data for Be4InNi after structural relaxation.

a b c (Å): 6.2942 6.2942 6.2942
angles (deg): 90.00 90.00 90.00
Closest atoms and distances in Å follow each position.
Space group F-43m (No. 216)
One atom of each set of equivalent atoms:
Be  0.1227  0.1227  0.3773 x16  6 Be 2.18-2.27
In  0.0000  0.0000  0.0000 x4  12 Be 2.61, 4 Ni 2.73
Ni  0.2500  0.2500  0.7500 x4  12 Be 2.61, 4 In 2.73

Properties
M_tot, μB/f.u.: 0.00
E_tot, eV/atom: -3.941
Energy relative to the elements, eV per atom: -0.0366

---

## BeIn4Ni (GGA-PBE)

Data for BeIn4Ni after structural relaxation.

a b c (Å): 8.2975 8.2975 8.2975
angles (deg): 90.00 90.00 90.00
Closest atoms and distances in Å follow each position.
Space group F-43m (No. 216)
One atom of each set of equivalent atoms:
Be  0.0000  0.0000  0.0000 x4  12 In 3.44, 4 Ni 3.59
In  0.1248  0.1248  0.6248 x16  6 In 2.93-2.94
Ni  0.2500  0.2500  0.2500 x4  12 In 3.44, 4 Be 3.59

Properties
M_tot, μB/f.u.: 0.00
E_tot, eV/atom: -2.542
Energy relative to the elements, eV per atom: 0.8685

---

## BeInNi6 (GGA-PBE)

Data for BeInNi6 after structural relaxation.

a b c (Å): 6.0263 11.3586 10.8541
angles (deg): 90.00 90.00 90.00
Closest atoms and distances in Å follow each position.
Space group Cmmm (No. 65)
One atom of each set of equivalent atoms:
Be  0.0000  0.0000  0.2237 x4  9 Ni 2.34-2.43
Be  0.0000  0.2713  0.0000 x4  11 Ni 2.34-2.62
In  0.0000  0.2702  0.5000 x4  11 Ni 2.61-2.81
In  0.0000  0.5000  0.2361 x4  12 Ni 2.56-2.86
Ni  0.0000  0.0000  0.0000 x2  8 Ni 2.38, 2 Be 2.43
Ni  0.0000  0.0000  0.5000 x2  8 Ni 2.39
Ni  0.0000  0.2647  0.2415 x8  8 Ni 2.40-2.55, 1 Be 2.62, 1 In 2.67
Ni  0.0000  0.5000  0.0000 x2  2 In 2.56, 2 Be 2.60, 8 Ni 2.61
Ni  0.0000  0.5000  0.5000 x2  4 In 2.61-2.86, 8 Ni 2.68
Ni  0.2091  0.1164  0.3579 x16  1 Be 2.34, 4 Ni 2.39-2.55, 1 In 2.56
Ni  0.2181  0.1372  0.1137 x16  3 Be 2.34-2.36, 6 Ni 2.38-2.61

Properties
M_tot, μB/f.u.: 0.87
E_tot, eV/atom: -5.213
Energy relative to the elements, eV per atom: -0.0692

---

## BeInNi3 (GGA-PBE)

Data for BeInNi3 after structural relaxation.

a b c (Å): 4.6084 4.6084 4.6084
angles (deg): 90.00 90.00 90.00
Closest atoms and distances in Å follow each position.
Space group Pm-3m (No. 221)
One atom of each set of equivalent atoms:
Be  0.0000  0.0000  0.0000 x1  12 Ni 3.26
In  0.5000  0.5000  0.5000 x1  6 Ni 2.30
Ni  0.0000  0.5000  0.5000 x3  2 In 2.30

Properties
M_tot, μB/f.u.: 0.00
E_tot, eV/atom: -3.269
Relative energy among the computed polymorphs, meV per atom: 1463
Energy relative to the elements, eV per atom: 1.4928

---

## Be2InNi2 (GGA-PBE)

Data for Be2InNi2 after structural relaxation.

a b c (Å): 3.1841 3.1841 12.0782
angles (deg): 90.00 90.00 90.00
Closest atoms and distances in Å follow each position.
Space group I4/mmm (No. 139)
One atom of each set of equivalent atoms:
Be  0.0000  0.5000  0.2500 x4  4 Be 2.25, 4 Ni 2.26
In  0.0000  0.0000  0.0000 x2  8 Ni 2.66
Ni  0.0000  0.0000  0.3833 x4  4 Be 2.26

Properties
M_tot, μB/f.u.: 0.00
E_tot, eV/atom: -4.388
Relative energy among the computed polymorphs, meV per atom: 142
Energy relative to the elements, eV per atom: -0.0372

---

## BeIn2NiS (GGA-PBE)

Data for BeIn2NiS after structural relaxation.

a b c (Å): 4.9745 4.9745 4.0756
angles (deg): 90.00 90.00 90.00
Closest atoms and distances in Å follow each position.
Space group P4/mmm (No. 123)
One atom of each set of equivalent atoms:
Be  0.0000  0.0000  0.0000 x1  2 Ni 2.04
In  0.0000  0.5000  0.5000 x2  2 Ni 2.49
Ni  0.0000  0.0000  0.5000 x1  2 Be 2.04
S  0.5000  0.5000  0.0000 x1  8 In 3.22, 4 Be 3.52

Properties
Formation energy without anion corrections, meV per atom: 210
M_tot, μB/f.u.: 0.00
E_tot, eV/atom: -3.612

---

## ScBeInNi (GGA-PBE)

Data for ScBeInNi after structural relaxation.

a b c (Å): 6.2450 6.2450 6.2450
angles (deg): 90.00 90.00 90.00
Closest atoms and distances in Å follow each position.
Space group F-43m (No. 216)
One atom of each set of equivalent atoms:
Sc  0.0000  0.0000  0.0000 x4  4 Ni 2.70, 4 Be 2.70
Be  0.2500  0.2500  0.2500 x4  4 In 2.70, 4 Sc 2.70
In  0.0000  0.0000  0.5000 x4  4 Ni 2.70, 4 Be 2.70
Ni  0.2500  0.2500  0.7500 x4  4 Sc 2.70, 4 In 2.70

Properties
M_tot, μB/f.u.: 0.00
E_tot, eV/atom: -4.890
Energy relative to the elements, eV per atom: -0.2457

---

## BeInSiNi2 (GGA-PBE)

Data for BeInSiNi2 after structural relaxation.

a b c (Å): 4.0819 4.0819 4.4389
angles (deg): 90.00 90.00 90.00
Closest atoms and distances in Å follow each position.
Space group P4/mmm (No. 123)
One atom of each set of equivalent atoms:
Be  0.0000  0.0000  0.0000 x1  4 Ni 2.04, 2 In 2.22
In  0.0000  0.0000  0.5000 x1  2 Be 2.22
Si  0.5000  0.5000  0.5000 x1  4 In 2.89, 8 Ni 3.02
Ni  0.0000  0.5000  0.0000 x2  2 Be 2.04

Properties
Formation energy without anion corrections, meV per atom: 530
M_tot, μB/f.u.: 0.00
E_tot, eV/atom: -4.160

---

## BeIn2NiSn (GGA-PBE)

Data for BeIn2NiSn after structural relaxation.

a b c (Å): 4.9320 4.9320 4.9109
angles (deg): 90.00 90.00 90.00
Closest atoms and distances in Å follow each position.
Space group P4/mmm (No. 123)
One atom of each set of equivalent atoms:
Be  0.0000  0.0000  0.0000 x1  8 In 3.48, 4 Sn 3.49
In  0.0000  0.5000  0.5000 x2  2 Ni 2.47
Ni  0.5000  0.5000  0.5000 x1  2 Sn 2.46, 4 In 2.47
Sn  0.5000  0.5000  0.0000 x1  2 Ni 2.46

Properties
M_tot, μB/f.u.: 0.00
E_tot, eV/atom: -3.321
Energy relative to the elements, eV per atom: 0.4769

---

## BeV2InNi (GGA-PBE)

Data for BeV2InNi after structural relaxation.

a b c (Å): 4.1948 4.1948 4.0306
angles (deg): 90.00 90.00 90.00
Closest atoms and distances in Å follow each position.
Space group P4/mmm (No. 123)
One atom of each set of equivalent atoms:
Be  0.0000  0.0000  0.0000 x1  2 Ni 2.02, 4 V 2.10
V  0.0000  0.5000  0.0000 x2  2 Be 2.10
In  0.5000  0.5000  0.5000 x1  8 V 2.91, 4 Ni 2.97
Ni  0.0000  0.0000  0.5000 x1  2 Be 2.02

Properties
M_tot, μB/f.u.: 0.00
E_tot, eV/atom: -5.698
Energy relative to the elements, eV per atom: 0.3989

---

## NpBeInO6 (GGA-PBE)

Data for NpBeInO6 after structural relaxation.

a b c (Å): 5.0717 5.0717 9.4074
angles (deg): 90.00 90.00 120.00
Closest atoms and distances in Å follow each position.
Space group P-31c (No. 163)
One atom of each set of equivalent atoms:
Np  0.3333  0.6667  0.2500 x2  6 O 2.02
Be  0.3333  0.6667  0.7500 x2  6 O 1.89
In  0.0000  0.0000  0.0000 x2  6 O 2.21
O  0.0208  0.3628  0.6379 x12  1 Be 1.89, 1 Np 2.02

Properties
Formation energy without anion corrections, meV per atom: -2090
M_tot, μB/f.u.: 0.00
E_tot, eV/atom: -7.552

---

## Be3InO (GGA-PBE)

Data for Be3InO after structural relaxation.

a b c (Å): 3.7993 3.7993 3.7993
angles (deg): 90.00 90.00 90.00
Closest atoms and distances in Å follow each position.
Space group Pm-3m (No. 221)
One atom of each set of equivalent atoms:
Be  0.0000  0.0000  0.5000 x3  2 O 1.90
In  0.5000  0.5000  0.5000 x1  12 Be 2.69
O  0.0000  0.0000  0.0000 x1  6 Be 1.90

Properties
Formation energy without anion corrections, meV per atom: -91
M_tot, μB/f.u.: 0.00
E_tot, eV/atom: -3.867
Relative energy among the computed polymorphs, meV per atom: 0

---

## BeIn3O (GGA-PBE)

Data for BeIn3O after structural relaxation.

a b c (Å): 4.7584 4.7584 4.7584
angles (deg): 90.00 90.00 90.00
Closest atoms and distances in Å follow each position.
Space group Pm-3m (No. 221)
One atom of each set of equivalent atoms:
Be  0.0000  0.0000  0.0000 x1  12 In 3.36
In  0.0000  0.5000  0.5000 x3  2 O 2.38
O  0.5000  0.5000  0.5000 x1  6 In 2.38

Properties
Formation energy without anion corrections, meV per atom: 222
M_tot, μB/f.u.: 0.00
E_tot, eV/atom: -3.158
Relative energy among the computed polymorphs, meV per atom: 0